(1)
The following is a DFT calculation (GGA-PBE) of a geometry-optimized Sm3Y2Tm8 structure.

Cell and atoms, written as CIF:
```
data_Sm3Y2Tm8
_chemical_formula_sum 'Sm6 Y4 Tm16'
_space_group_name_H-M_alt 'C 1 2/m 1'
_space_group_IT_number 12
_cell_length_a 20.082
_cell_length_b 7.634
_cell_length_c 5.560
_cell_angle_alpha 90.00
_cell_angle_beta 90.03
_cell_angle_gamma 90.00
loop_
_space_group_symop_operation_xyz
'x,y,z'
'-x,-y,-z'
'-x,y,-z'
'x,-y,z'
'x+1/2,y+1/2,z'
'-x+1/2,-y+1/2,-z'
'-x+1/2,y+1/2,-z'
'x+1/2,-y+1/2,z'
loop_
_atom_site_label
_atom_site_type_symbol
_atom_site_fract_x
_atom_site_fract_y
_atom_site_fract_z
_atom_site_occupancy
Sm1 Sm 0.000 0.000 0.000 1
Sm2 Sm 0.000 0.291 0.500 1
Y1 Y 0.241 0.000 0.999 1
Tm1 Tm 0.109 0.290 0.000 1
Tm2 Tm 0.133 0.000 0.500 1
Tm3 Tm 0.168 0.500 0.501 1
```

Values from the calculation:
ρ = 7.716 g cm⁻³
M_tot = 0.000 μB/atom


(2)
The following is a DFT calculation (GGA-PBE) of a geometry-optimized Sm3Y2Tm8 structure.

Cell and atoms, written as CIF:
```
data_Sm3Y2Tm8
_chemical_formula_sum 'Sm3 Y2 Tm8'
_space_group_name_H-M_alt 'P -1'
_space_group_IT_number 2
_cell_length_a 6.123
_cell_length_b 6.124
_cell_length_c 11.165
_cell_angle_alpha 89.95
_cell_angle_beta 79.44
_cell_angle_gamma 80.40
loop_
_space_group_symop_operation_xyz
'x,y,z'
'-x,-y,-z'
loop_
_atom_site_label
_atom_site_type_symbol
_atom_site_fract_x
_atom_site_fract_y
_atom_site_fract_z
_atom_site_occupancy
Sm1 Sm 0.000 0.000 0.000 1
Sm2 Sm 0.231 0.462 0.078 1
Y1 Y 0.383 0.770 0.462 1
Tm1 Tm 0.077 0.154 0.691 1
Tm2 Tm 0.153 0.308 0.385 1
Tm3 Tm 0.308 0.615 0.768 1
Tm4 Tm 0.462 0.925 0.156 1
```

Values from the calculation:
ρ = 8.108 g cm⁻³
M_tot = 0.000 μB/atom


Energy ordering: (2) at the bottom, the next structure 0.231 eV/atom above.


(1)
The following is a DFT calculation (GGA-PBE) of a geometry-optimized Sm6Y8Tm structure.

Cell and atoms, written as CIF:
```
data_Sm6Y8Tm
_chemical_formula_sum 'Sm18 Y24 Tm3'
_space_group_name_H-M_alt 'R -3'
_space_group_IT_number 148
_space_group_name_Hall '-R 3'
_cell_length_a 9.7818
_cell_length_b 9.7818
_cell_length_c 17.8357
_cell_angle_alpha 90.00
_cell_angle_beta 90.00
_cell_angle_gamma 120.00
loop_
_atom_site_label
_atom_site_type_symbol
_atom_site_fract_x
_atom_site_fract_y
_atom_site_fract_z
_atom_site_occupancy
Sm1 Sm 0.0413 0.2890 0.1770 1
Y1 Y 0.0000 0.0000 0.0862 1
Y2 Y 0.0605 0.2444 0.6703 1
Tm1 Tm 0.0000 0.0000 0.5000 1
```

Values from the calculation:
ρ = 6.008 g cm⁻³
M_tot = 0.000 μB/atom


(2)
The following is a DFT calculation (GGA-PBE) of a geometry-optimized Sm6Y8Tm structure.

Cell and atoms, written as CIF:
```
data_Sm6Y8Tm
_chemical_formula_sum 'Sm6 Y8 Tm1'
_space_group_name_H-M_alt 'P -3'
_space_group_IT_number 147
_cell_length_a 9.9692
_cell_length_b 9.9692
_cell_length_c 5.8402
_cell_angle_alpha 90.00
_cell_angle_beta 90.00
_cell_angle_gamma 120.00
loop_
_space_group_symop_operation_xyz
'x,y,z'
'-x,-y,-z'
'-y,x-y,z'
'y,-x+y,-z'
'-x+y,-x,z'
'x-y,x,-z'
loop_
_atom_site_label
_atom_site_type_symbol
_atom_site_fract_x
_atom_site_fract_y
_atom_site_fract_z
_atom_site_occupancy
Sm1 Sm 0.0918 0.6234 0.2645 1
Y1 Y 0.0507 0.7781 0.7762 1
Y2 Y 0.3333 0.6667 0.7740 1
Tm1 Tm 0.0000 0.0000 0.5000 1
```

Values from the calculation:
ρ = 5.888 g cm⁻³
M_tot = 0.000 μB/atom


Energy ordering: (2) at the bottom, the next structure 0.010 eV/atom above.